Model w:
SnHPt2: optimized geometry, GGA-PBE.

```
SnHPt2
1.0
1.691 -4.068 0.041
0.698 -2.057 3.833
-2.523 -3.422 1.155
H Sn Pt
1 1 2
Direct
0.000 0.000 0.000 H
0.500 0.500 0.500 Sn
0.250 0.250 0.250 Pt
0.750 0.750 0.750 Pt
```


Model x:
SnHPt2: optimized geometry, GGA-PBE.

```
SnHPt2
1.0
5.334 0.000 0.000
0.000 5.334 0.000
2.667 2.667 4.364
H Sn Pt
2 2 4
Direct
0.500 0.500 0.000 H
0.250 0.750 0.500 H
0.000 0.000 0.000 Sn
0.750 0.250 0.500 Sn
0.493 0.125 0.250 Pt
0.257 0.625 0.250 Pt
0.375 0.507 0.750 Pt
0.875 0.743 0.750 Pt
```


Short version: model x is the most stable of them.


Model w:
SnH2Pt2: optimized geometry, GGA-PBE.

```
SnH2Pt2
1.0
3.619 0.000 0.000
0.000 3.619 0.000
1.809 1.809 4.632
H Sn Pt
2 1 2
Direct
0.750 0.250 0.500 H
0.250 0.750 0.500 H
0.000 0.000 0.000 Sn
0.340 0.340 0.320 Pt
0.660 0.660 0.680 Pt
```


Model x:
SnH2Pt2: optimized geometry, GGA-PBE.

```
SnH2Pt2
1.0
7.029 0.000 0.000
0.000 7.029 0.000
0.000 0.000 2.995
H Sn Pt
4 2 4
Direct
0.281 0.781 0.500 H
0.781 0.719 0.500 H
0.719 0.219 0.500 H
0.219 0.281 0.500 H
0.000 0.000 0.000 Sn
0.500 0.500 0.000 Sn
0.365 0.865 0.000 Pt
0.865 0.635 0.000 Pt
0.635 0.135 0.000 Pt
0.135 0.365 0.000 Pt
```


Short version: model w is the most stable of them.


Model w:
SnH2Pt: optimized geometry, GGA-PBE.

```
SnH2Pt
1.0
4.940 0.000 0.000
0.000 4.940 0.000
2.470 2.470 4.387
H Sn Pt
4 2 2
Direct
0.775 0.125 0.250 H
0.975 0.625 0.250 H
0.375 0.225 0.750 H
0.875 0.025 0.750 H
0.500 0.500 0.000 Sn
0.250 0.750 0.500 Sn
0.000 0.000 0.000 Pt
0.750 0.250 0.500 Pt
```


Model x:
SnH2Pt: optimized geometry, GGA-PBE.

```
SnH2Pt
1.0
-2.179 -3.371 -0.686
-4.054 0.085 0.374
-2.356 -0.263 -3.311
H Sn Pt
2 1 1
Direct
0.250 0.250 0.250 H
0.750 0.750 0.750 H
0.000 0.000 0.000 Sn
0.500 0.500 0.500 Pt
```


Short version: model w is the most stable of them.


Model w:
SrH2Pt: optimized geometry, GGA-PBE.

```
SrH2Pt
1.0
4.616 0.000 0.000
0.000 4.616 0.000
2.308 2.308 5.462
Sr Pt H
2 2 4
Direct
0.500 0.500 0.000 Sr
0.250 0.750 0.500 Sr
0.000 0.000 0.000 Pt
0.750 0.250 0.500 Pt
0.836 0.125 0.250 H
0.914 0.625 0.250 H
0.375 0.164 0.750 H
0.875 0.086 0.750 H
```


Model x:
SrH2Pt: optimized geometry, GGA-PBE.

```
SrH2Pt
1.0
0.000 3.040 3.040
3.040 0.000 3.040
3.040 3.040 0.000
Sr Pt H
1 1 2
Direct
0.000 0.000 0.000 Sr
0.500 0.500 0.500 Pt
0.250 0.250 0.250 H
0.750 0.750 0.750 H
```


Short version: model w is the most stable of them.


Model w:
SrH2Pt: optimized geometry, GGA-PBE.

```
SrH2Pt
1.0
4.307 0.000 0.000
0.000 4.777 0.000
0.000 0.000 12.864
Sr H Pt
4 8 4
Direct
0.250 0.274 0.377 Sr
0.250 0.226 0.877 Sr
0.750 0.726 0.623 Sr
0.750 0.774 0.123 Sr
0.250 0.931 0.706 H
0.250 0.569 0.206 H
0.750 0.069 0.294 H
0.750 0.431 0.794 H
0.250 0.498 0.555 H
0.250 0.002 0.055 H
0.750 0.502 0.445 H
0.750 0.998 0.945 H
0.250 0.212 0.629 Pt
0.250 0.288 0.129 Pt
0.750 0.788 0.371 Pt
0.750 0.712 0.871 Pt
```


Model x:
SrH2Pt: optimized geometry, GGA-PBE.

```
SrH2Pt
1.0
4.352 0.000 0.000
2.176 3.769 0.000
2.176 1.256 4.085
Sr Pt H
1 1 2
Direct
0.500 0.500 0.500 Sr
0.000 0.000 0.000 Pt
0.135 0.135 0.594 H
0.865 0.865 0.406 H
```


Short version: model w is the most stable of them.


Model w:
Sr2HPt: optimized geometry, GGA-PBE.

```
Sr2HPt
1.0
0.000 3.635 3.635
3.635 0.000 3.635
3.635 3.635 0.000
Sr Pt H
2 1 1
Direct
0.250 0.250 0.250 Sr
0.750 0.750 0.750 Sr
0.500 0.500 0.500 Pt
0.000 0.000 0.000 H
```


Model x:
Sr2HPt: optimized geometry, GGA-PBE.

```
Sr2HPt
1.0
4.139 0.000 0.000
2.070 3.585 0.000
2.070 1.195 7.329
Sr H Pt
2 1 1
Direct
0.081 0.081 0.757 Sr
0.254 0.254 0.238 Sr
0.498 0.498 0.506 H
0.667 0.667 0.999 Pt
```


Short version: model x is the most stable of them.